A relaxed structure of LiPmCoF6. Source: Alexandria, functional GGA+U.

```
18
Lattice="5.009 0.000 0.000 0.000 5.009 0.000 0.000 0.000 9.924" Properties=species:S:1:pos:R:3 pbc="T T T"
Pm 2.505 2.505 1.658
Pm 0.000 0.000 6.620
F 3.409 3.409 6.641
F 4.105 0.904 1.679
F 3.999 1.010 4.843
F 1.010 3.999 4.843
F 1.495 1.495 9.805
F 1.448 1.448 3.374
F 3.561 3.561 3.374
F 3.953 1.056 8.336
F 0.904 4.105 1.679
F 1.056 3.953 8.336
F 3.515 3.515 9.805
F 1.600 1.600 6.641
Li 2.505 2.505 5.010
Li 0.000 0.000 0.048
Co 0.000 0.000 3.312
Co 2.505 2.505 8.274
```

## Properties
Space group ... P4_2nm
E ... -5.68 eV/atom
Calculated volume ... 13.83 Å³/atom
Mass density ... 4.3 g/cm3